Computed, not measured: crystalline Pm7Sm2Th2 at its relaxed geometry at the PBE level of DFT.

Unit cell a=8.1183 b=8.1183 c=6.1934 alpha=105.44 beta=105.44 gamma=91.69
Last column: nearest neighbours and their distance in Å.
Positions (direct):
Pm1 0.0000 0.0000 0.0000  6 Pm 3.33-3.60
Pm2 0.0646 0.5877 0.8326  3 Pm 3.17-3.38, 2 Sm 3.35-3.50
Pm3 0.2389 0.2389 0.5854  5 Pm 3.38-3.67, 3 Th 3.54-3.72, 2 Sm 3.62
Pm4 0.4123 0.9354 0.1674  3 Pm 3.17-3.38, 2 Sm 3.35-3.50
Pm5 0.5877 0.0646 0.8326  3 Pm 3.17-3.38, 2 Sm 3.35-3.50
Pm6 0.7611 0.7611 0.4146  5 Pm 3.38-3.67, 3 Th 3.54-3.72, 2 Sm 3.62
Pm7 0.9354 0.4123 0.1674  3 Pm 3.17-3.38, 2 Sm 3.35-3.50
Sm1 0.2212 0.7788 0.5000  6 Pm 3.35-3.62, 2 Th 3.69
Sm2 0.7788 0.2212 0.5000  6 Pm 3.35-3.62, 2 Th 3.69
Th1 0.4197 0.4197 0.1947  2 Th 3.51-3.53, 7 Pm 3.54-3.89, 2 Sm 3.69
Th2 0.5803 0.5803 0.8053  2 Th 3.51-3.53, 7 Pm 3.54-3.89, 2 Sm 3.69

Output
For the density of states at the Fermi level, the calculation gives 17.0 states/eV per cell. The value obtained for the mass density is 7.839 g/cm³. Its crystal system is monoclinic. Its symmetry is C2/m. As for the formation energy: 1.94 eV/f.u. The calculation puts the total magnetization at 0.00 Bohr magnetons per cell.